Computed, not measured: a geometry-optimized Sr4Y3HoSe8 structure at the PBE level of DFT.

The volume comes out at 26.983 Å³ per atom. For the total magnetic moment, the calculation gives 0.00 Bohr magnetons per cell. For the uncorrected formation energy, the calculation gives -30.203 eV per formula unit. For the density of states at the Fermi level, the calculation gives 17.07 states/eV per cell.

CIF file:
```
data_Sr4Y3HoSe8
_cell_length_a 8.4062
_cell_length_b 8.4062
_cell_length_c 21.1636
_cell_angle_alpha 90.00
_cell_angle_beta 90.00
_cell_angle_gamma 120.00
_symmetry_space_group_name_H-M 'R -3 m'
_symmetry_Int_Tables_number 166
_symmetry_space_group_name_Hall '-R 3 2"'
loop_
_atom_site_label
_atom_site_fract_x
_atom_site_fract_y
_atom_site_fract_z
Sr1 0.0000 0.0000 0.0000
Sr2 0.0000 0.5000 0.0000
Y1 0.0000 0.5000 0.5000
Ho1 0.0000 0.0000 0.5000
Se1 0.0000 0.0000 0.2437
Se2 0.0015 0.5007 0.2434
```